# PBE Li2WS3, optimized geometry
# DFT total energy = -5.742 eV/atom
data_Li2WS3
_cell_length_a 5.9811
_cell_length_b 5.9811
_cell_length_c 6.3615
_cell_angle_alpha 98.96
_cell_angle_beta 98.96
_cell_angle_gamma 118.01
_symmetry_space_group_name_H-M 'P 1'
_symmetry_Int_Tables_number 1
loop_
_symmetry_equiv_pos_as_xyz
'x,y,z'
loop_
_atom_site_label
_atom_site_fract_x
_atom_site_fract_y
_atom_site_fract_z
_atom_site_occupancy
Li1 0.5000 0.5000 0.0000 1
Li2 0.0000 0.0000 0.5000 1
Li3 0.6784 0.3216 0.5000 1
Li4 0.3216 0.6784 0.5000 1
S1 0.9227 0.5718 0.2194 1
S2 0.5718 0.9227 0.2194 1
S3 0.2530 0.2530 0.2660 1
S4 0.7470 0.7470 0.7340 1
S5 0.4282 0.0773 0.7806 1
S6 0.0773 0.4282 0.7806 1
W1 0.8672 0.1328 0.0000 1
W2 0.1328 0.8672 0.0000 1